No. 1
Entry from Alexandria: a relaxed structure of Mo3PbBr (GGA-PBE).

Computed properties:
- Raw total energy: -30.2 eV for the cell shown
- Space group: Pm-3m (221)
- Uncorrected formation energy: 1.538 eV per atom
- Energy above the lowest structure with this stoichiometry: 0.0000 eV per atom

a b c (Å): 4.6837 4.6837 4.6837
angles (deg): 90.00 90.00 90.00
Last column: nearest neighbours and their distance in Å.
Fractional positions:
Pb 0.5000 0.5000 0.5000  12 Mo 3.31
Mo 0.0000 0.5000 0.0000  2 Br 2.34
Mo 0.0000 0.0000 0.5000  2 Br 2.34
Mo 0.5000 0.0000 0.0000  2 Br 2.34
Br 0.0000 0.0000 0.0000  6 Mo 2.34

***

No. 2
Entry from Alexandria: a relaxed structure of MoPb3Br (GGA-PBE).

Computed properties:
- Raw total energy: -22.9 eV for the cell shown
- Space group: Pm-3m (221)
- Uncorrected formation energy: 0.151 eV per atom
- Energy above the lowest structure with this stoichiometry: 0.0000 eV per atom

a b c (Å): 5.4102 5.4102 5.4102
angles (deg): 90.00 90.00 90.00
Last column: nearest neighbours and their distance in Å.
Fractional positions:
Pb 0.0000 0.5000 0.0000  2 Mo 2.71
Pb 0.0000 0.0000 0.5000  2 Mo 2.71
Pb 0.5000 0.0000 0.0000  2 Mo 2.71
Mo 0.0000 0.0000 0.0000  6 Pb 2.71
Br 0.5000 0.5000 0.5000  12 Pb 3.83

***

No. 3
Entry from Alexandria: a relaxed structure of MoPbBr (GGA-PBE).

Computed properties:
- Raw total energy: -13.7 eV for the cell shown
- Space group: F-43m (216)
- Uncorrected formation energy: 0.840 eV per atom
- Energy above the lowest structure with this stoichiometry: 0.5730 eV per atom

a b c (Å): 4.8068 4.8068 4.8068
angles (deg): 60.00 60.00 60.00
Last column: nearest neighbours and their distance in Å.
Fractional positions:
Pb 0.0000 0.0000 0.0000  4 Mo 2.94
Mo 0.7500 0.7500 0.7500  4 Pb 2.94, 4 Br 2.94
Br 0.5000 0.5000 0.5000  4 Mo 2.94

***

No. 4
Entry from Alexandria: a relaxed structure of MoPb3Br (GGA-PBE).

Computed properties:
- Raw total energy: -17.6 eV for the cell shown
- Space group: Pm-3m (221)
- Uncorrected formation energy: 1.211 eV per atom
- Energy above the lowest structure with this stoichiometry: 1.0599 eV per atom

a b c (Å): 5.6594 5.6594 5.6594
angles (deg): 90.00 90.00 90.00
Last column: nearest neighbours and their distance in Å.
Fractional positions:
Pb 0.0000 0.5000 0.0000  2 Br 2.83
Pb 0.0000 0.0000 0.5000  2 Br 2.83
Pb 0.5000 0.0000 0.0000  2 Br 2.83
Mo 0.5000 0.5000 0.5000  12 Pb 4.00
Br 0.0000 0.0000 0.0000  6 Pb 2.83

***

No. 5
Entry from Alexandria: a relaxed structure of MoPbBr2 (GGA-PBE).

Computed properties:
- Raw total energy: -15.0 eV for the cell shown
- Space group: F-43m (216)
- Uncorrected formation energy: 0.721 eV per atom
- Energy above the lowest structure with this stoichiometry: 0.6943 eV per atom

a b c (Å): 5.2761 5.2761 5.2761
angles (deg): 60.00 60.00 60.00
Last column: nearest neighbours and their distance in Å.
Fractional positions:
Pb 0.7500 0.7500 0.7500  4 Mo 3.23, 4 Br 3.23
Mo 0.5000 0.5000 0.5000  4 Br 3.23, 4 Pb 3.23
Br 0.0000 0.0000 0.0000  4 Pb 3.23, 4 Br 3.23
Br 0.2500 0.2500 0.2500  4 Br 3.23, 4 Mo 3.23

***

No. 6
Entry from Alexandria: a relaxed structure of MoPbBr (GGA-PBE).

Computed properties:
- Raw total energy: -15.4 eV for the cell shown
- Space group: P3m1 (156)
- Uncorrected formation energy: 0.267 eV per atom
- Energy above the lowest structure with this stoichiometry: 0.0000 eV per atom

a b c (Å): 3.2944 3.2944 7.9916
angles (deg): 90.00 90.00 120.00
Last column: nearest neighbours and their distance in Å.
Fractional positions:
Pb 0.3333 0.6667 0.6073  3 Mo 3.09, 6 Pb 3.29
Mo 0.6667 0.3333 0.3034  3 Br 2.56
Br 0.0000 0.0000 0.0893  3 Mo 2.56

***

No. 7
Entry from Alexandria: a relaxed structure of MoPbBr2 (GGA-PBE).

Computed properties:
- Raw total energy: -16.9 eV for the cell shown
- Space group: P4mm (99)
- Uncorrected formation energy: 0.258 eV per atom
- Energy above the lowest structure with this stoichiometry: 0.2311 eV per atom

a b c (Å): 3.3660 3.3660 8.6407
angles (deg): 90.00 90.00 90.00
Last column: nearest neighbours and their distance in Å.
Fractional positions:
Pb 0.5000 0.5000 0.7281  5 Br 3.17-3.41, 4 Mo 3.27, 4 Pb 3.37
Mo 0.0000 0.0000 0.4690  4 Br 2.65
Br 0.0000 0.0000 0.9700  4 Pb 3.17, 4 Br 3.37
Br 0.5000 0.5000 0.3329  4 Mo 2.65

***

No. 8
Entry from Alexandria: a relaxed structure of MoPbBr2 (GGA-PBE).

Computed properties:
- Raw total energy: -17.8 eV for the cell shown
- Space group: Pm (6)
- Uncorrected formation energy: 0.027 eV per atom
- Energy above the lowest structure with this stoichiometry: 0.0000 eV per atom

a b c (Å): 3.4338 4.5996 7.6852
angles (deg): 76.49 90.00 90.00
Last column: nearest neighbours and their distance in Å.
Fractional positions:
Pb 0.5000 0.7603 0.6465  4 Mo 2.89-2.90
Mo 0.0000 0.2824 0.5935  3 Br 2.56-2.62
Br 0.0000 0.0628 0.9323  1 Mo 2.56
Br 0.5000 0.3945 0.3278  2 Mo 2.62

***

No. 9
Entry from Alexandria: a relaxed structure of MoPbBr (GGA-PBE).

Computed properties:
- Raw total energy: -15.0 eV for the cell shown
- Space group: I4mm (107)
- Uncorrected formation energy: 0.413 eV per atom
- Energy above the lowest structure with this stoichiometry: 0.1460 eV per atom

a b c (Å): 7.7197 7.7196 7.7196
angles (deg): 156.22 156.22 33.88
Last column: nearest neighbours and their distance in Å.
Fractional positions:
Pb 0.7002 0.7002 0.0000  4 Mo 3.15, 4 Pb 3.18
Mo 0.3500 0.3500 0.0000  4 Br 2.69
Br 0.9498 0.9498 0.0000  4 Mo 2.69

***

No. 10
Entry from Alexandria: a relaxed structure of MoPb2Br2 (GGA-PBE).

Computed properties:
- Raw total energy: -40.0 eV for the cell shown
- Space group: P4/mbm (127)
- Uncorrected formation energy: 0.315 eV per atom
- Energy above the lowest structure with this stoichiometry: 0.0000 eV per atom

a b c (Å): 6.9180 6.9180 6.2791
angles (deg): 90.00 90.00 90.00
Last column: nearest neighbours and their distance in Å.
Fractional positions:
Pb 0.2901 0.7901 0.5000  2 Br 3.16, 4 Pb 3.50
Pb 0.7901 0.7099 0.5000  2 Br 3.16, 4 Pb 3.50
Pb 0.7099 0.2099 0.5000  2 Br 3.16, 4 Pb 3.50
Pb 0.2099 0.2901 0.5000  2 Br 3.16, 4 Pb 3.50
Mo 0.0000 0.0000 0.0000  4 Br 2.57
Mo 0.5000 0.5000 0.0000  4 Br 2.57
Br 0.3307 0.8307 0.0000  2 Mo 2.57
Br 0.8307 0.6693 0.0000  2 Mo 2.57
Br 0.6693 0.1693 0.0000  2 Mo 2.57
Br 0.1693 0.3307 0.0000  2 Mo 2.57

***

No. 11
Entry from Alexandria: a relaxed structure of MoPbBr (GGA-PBE).

Computed properties:
- Raw total energy: -14.8 eV for the cell shown
- Space group: Fmm2 (42)
- Uncorrected formation energy: 0.482 eV per atom
- Energy above the lowest structure with this stoichiometry: 0.2149 eV per atom

a b c (Å): 8.6649 8.3485 3.2714
angles (deg): 84.41 73.52 22.07
Last column: nearest neighbours and their distance in Å.
Fractional positions:
Pb 0.6916 0.6916 0.3084  2 Mo 2.99, 6 Pb 3.26-3.27
Mo 0.3445 0.3445 0.6555  2 Br 2.55
Br 0.9639 0.9639 0.0361  2 Mo 2.55

***

No. 12
Entry from Alexandria: a relaxed structure of MoPbBr2 (GGA-PBE).

Computed properties:
- Raw total energy: -17.6 eV for the cell shown
- Space group: Cm (8)
- Uncorrected formation energy: 0.060 eV per atom
- Energy above the lowest structure with this stoichiometry: 0.0330 eV per atom

a b c (Å): 6.7161 6.7161 6.5423
angles (deg): 60.66 60.66 27.52
Last column: nearest neighbours and their distance in Å.
Fractional positions:
Pb 0.1702 0.1702 0.2827  2 Mo 2.95, 2 Pb 3.20
Mo 0.4800 0.4800 0.6649  4 Br 2.55-2.56
Br 0.0082 0.0082 0.9378  2 Mo 2.56
Br 0.8416 0.8416 0.6145  2 Mo 2.55

***

No. 13
Entry from Alexandria: a relaxed structure of MoPbBr2 (GGA-PBE).

Computed properties:
- Raw total energy: -17.6 eV for the cell shown
- Space group: R-3m (166)
- Uncorrected formation energy: 0.061 eV per atom
- Energy above the lowest structure with this stoichiometry: 0.0346 eV per atom

a b c (Å): 11.6456 11.6456 11.6456
angles (deg): 16.56 16.56 16.56
Last column: nearest neighbours and their distance in Å.
Fractional positions:
Pb 0.0000 0.0000 0.0000  6 Pb 3.35
Mo 0.5000 0.5000 0.5000  6 Br 2.63
Br 0.8851 0.8851 0.8851  3 Mo 2.63
Br 0.1149 0.1149 0.1149  3 Mo 2.63

***

No. 14
Entry from Alexandria: a relaxed structure of Mo6PbBr14 (GGA-PBE).

Computed properties:
- Raw total energy: -428.6 eV for the cell shown
- Space group: Pn-3 (201)
- Uncorrected formation energy: -0.716 eV per atom

a b c (Å): 13.9304 13.9304 13.9304
angles (deg): 90.00 90.00 90.00
Last column: nearest neighbours and their distance in Å.
Fractional positions:
Mo 0.8781 0.2757 0.2177  5 Br 2.62-2.65, 4 Mo 2.65
Mo 0.7757 0.7177 0.6219  5 Br 2.62-2.65, 4 Mo 2.65
Mo 0.7823 0.8781 0.7243  5 Br 2.62-2.65, 4 Mo 2.65
Mo 0.1219 0.7243 0.2177  5 Br 2.62-2.65, 4 Mo 2.65
Mo 0.7243 0.2177 0.1219  5 Br 2.62-2.65, 4 Mo 2.65
Mo 0.7823 0.1219 0.2757  5 Br 2.62-2.65, 4 Mo 2.65
Mo 0.3781 0.2243 0.7177  5 Br 2.62-2.65, 4 Mo 2.65
Mo 0.3781 0.7757 0.2823  5 Br 2.62-2.65, 4 Mo 2.65
Mo 0.2177 0.1219 0.7243  5 Br 2.62-2.65, 4 Mo 2.65
Mo 0.2823 0.3781 0.7757  5 Br 2.62-2.65, 4 Mo 2.65
Mo 0.8781 0.7243 0.7823  5 Br 2.62-2.65, 4 Mo 2.65
Mo 0.7757 0.2823 0.3781  5 Br 2.62-2.65, 4 Mo 2.65
Mo 0.6219 0.2243 0.2823  5 Br 2.62-2.65, 4 Mo 2.65
Mo 0.7243 0.7823 0.8781  5 Br 2.62-2.65, 4 Mo 2.65
Mo 0.2823 0.6219 0.2243  5 Br 2.62-2.65, 4 Mo 2.65
Mo 0.7177 0.6219 0.7757  5 Br 2.62-2.65, 4 Mo 2.65
Mo 0.2757 0.2177 0.8781  5 Br 2.62-2.65, 4 Mo 2.65
Mo 0.2243 0.2823 0.6219  5 Br 2.62-2.65, 4 Mo 2.65
Mo 0.7177 0.3781 0.2243  5 Br 2.62-2.65, 4 Mo 2.65
Mo 0.1219 0.2757 0.7823  5 Br 2.62-2.65, 4 Mo 2.65
Mo 0.2757 0.7823 0.1219  5 Br 2.62-2.65, 4 Mo 2.65
Mo 0.2243 0.7177 0.3781  5 Br 2.62-2.65, 4 Mo 2.65
Mo 0.2177 0.8781 0.2757  5 Br 2.62-2.65, 4 Mo 2.65
Mo 0.6219 0.7757 0.7177  5 Br 2.62-2.65, 4 Mo 2.65
Pb 0.7500 0.7500 0.2500  6 Br 3.07
Pb 0.2500 0.2500 0.2500  6 Br 3.07
Pb 0.2500 0.7500 0.7500  6 Br 3.07
Pb 0.7500 0.2500 0.7500  6 Br 3.07
Br 0.3835 0.3835 0.6165  3 Mo 2.63
Br 0.1296 0.5662 0.3190  3 Mo 2.62
Br 0.5572 0.1834 0.6674  1 Mo 2.65
Br 0.8166 0.6674 0.4428  1 Mo 2.65
Br 0.1834 0.3326 0.4428  1 Mo 2.65
Br 0.8190 0.3704 0.0662  3 Mo 2.62
Br 0.3166 0.8326 0.9428  1 Mo 2.65
Br 0.6296 0.9338 0.8190  3 Mo 2.62
Br 0.0662 0.1810 0.6296  3 Mo 2.62
Br 0.3166 0.1674 0.0572  1 Mo 2.65
Br 0.1165 0.8835 0.1165  3 Mo 2.63
Br 0.1165 0.1165 0.8835  3 Mo 2.63
Br 0.8166 0.3326 0.5572  1 Mo 2.65
Br 0.8704 0.5662 0.6810  3 Mo 2.62
Br 0.0572 0.3166 0.1674  1 Mo 2.65
Br 0.1834 0.6674 0.5572  1 Mo 2.65
Br 0.6165 0.3835 0.3835  3 Mo 2.63
Br 0.5662 0.3190 0.1296  3 Mo 2.62
Br 0.6810 0.1296 0.4338  3 Mo 2.62
Br 0.3704 0.9338 0.1810  3 Mo 2.62
Br 0.4428 0.8166 0.6674  1 Mo 2.65
Br 0.5572 0.8166 0.3326  1 Mo 2.65
Br 0.8835 0.8835 0.8835  3 Mo 2.63
Br 0.0572 0.6834 0.8326  1 Mo 2.65
Br 0.3190 0.8704 0.4338  3 Mo 2.62
Br 0.9338 0.1810 0.3704  3 Mo 2.62
Br 0.3835 0.6165 0.3835  3 Mo 2.63
Br 0.4338 0.6810 0.1296  3 Mo 2.62
Br 0.9338 0.8190 0.6296  3 Mo 2.62
Br 0.6834 0.8326 0.0572  1 Mo 2.65
Br 0.8326 0.0572 0.6834  1 Mo 2.65
Br 0.0662 0.8190 0.3704  3 Mo 2.62
Br 0.1810 0.6296 0.0662  3 Mo 2.62
Br 0.9428 0.3166 0.8326  1 Mo 2.65
Br 0.1296 0.4338 0.6810  3 Mo 2.62
Br 0.3704 0.0662 0.8190  3 Mo 2.62
Br 0.9428 0.6834 0.1674  1 Mo 2.65
Br 0.6674 0.5572 0.1834  1 Mo 2.65
Br 0.8704 0.4338 0.3190  3 Mo 2.62
Br 0.8835 0.1165 0.1165  3 Mo 2.63
Br 0.3326 0.5572 0.8166  1 Mo 2.65
Br 0.8190 0.6296 0.9338  3 Mo 2.62
Br 0.3326 0.4428 0.1834  1 Mo 2.65
Br 0.6834 0.1674 0.9428  1 Mo 2.65
Br 0.6674 0.4428 0.8166  1 Mo 2.65
Br 0.5662 0.6810 0.8704  3 Mo 2.62
Br 0.1810 0.3704 0.9338  3 Mo 2.62
Br 0.4338 0.3190 0.8704  3 Mo 2.62
Br 0.1674 0.0572 0.3166  1 Mo 2.65
Br 0.6810 0.8704 0.5662  3 Mo 2.62
Br 0.6165 0.6165 0.6165  3 Mo 2.63
Br 0.3190 0.1296 0.5662  3 Mo 2.62
Br 0.6296 0.0662 0.1810  3 Mo 2.62
Br 0.8326 0.9428 0.3166  1 Mo 2.65
Br 0.4428 0.1834 0.3326  1 Mo 2.65
Br 0.1674 0.9428 0.6834  1 Mo 2.65

***

No. 15
Entry from Alexandria: a relaxed structure of MoPbBr2 (GGA-PBE).

Computed properties:
- Raw total energy: -16.0 eV for the cell shown
- Space group: C2/m (12)
- Uncorrected formation energy: 0.476 eV per atom
- Energy above the lowest structure with this stoichiometry: 0.4488 eV per atom

a b c (Å): 5.9573 5.9573 3.7232
angles (deg): 72.36 72.36 108.65
Last column: nearest neighbours and their distance in Å.
Fractional positions:
Pb 0.0000 0.5000 0.5000  4 Br 3.00
Mo 0.5000 0.0000 0.5000  4 Br 3.00
Br 0.0000 0.0000 0.0000  2 Pb 3.00, 2 Mo 3.00
Br 0.5000 0.5000 0.0000  2 Mo 3.00, 2 Pb 3.00

***

No. 16
Entry from Alexandria: a relaxed structure of MoPbBr2 (GGA-PBE).

Computed properties:
- Raw total energy: -15.5 eV for the cell shown
- Space group: P4/mmm (123)
- Uncorrected formation energy: 0.590 eV per atom
- Energy above the lowest structure with this stoichiometry: 0.5636 eV per atom

a b c (Å): 5.0300 5.0300 4.1716
angles (deg): 90.00 90.00 90.00
Last column: nearest neighbours and their distance in Å.
Fractional positions:
Pb 0.0000 0.5000 0.5000  8 Br 3.27, 4 Mo 3.56
Mo 0.5000 0.0000 0.5000  8 Br 3.27, 4 Pb 3.56
Br 0.0000 0.0000 0.0000  4 Pb 3.27, 4 Mo 3.27, 4 Br 3.56
Br 0.5000 0.5000 0.0000  4 Pb 3.27, 4 Mo 3.27, 4 Br 3.56

***

No. 17
Entry from Alexandria: a relaxed structure of MoPbBr2 (GGA-PBE).

Computed properties:
- Raw total energy: -17.0 eV for the cell shown
- Space group: Cmmm (65)
- Uncorrected formation energy: 0.233 eV per atom
- Energy above the lowest structure with this stoichiometry: 0.2065 eV per atom

a b c (Å): 3.4920 3.4920 10.6920
angles (deg): 90.00 90.00 124.05
Last column: nearest neighbours and their distance in Å.
Fractional positions:
Pb 0.5000 0.5000 0.7500  6 Pb 3.28-3.49
Mo 0.5000 0.5000 0.2500  4 Br 2.60
Br 0.0000 0.0000 0.0613  2 Mo 2.60
Br 0.0000 0.0000 0.4387  2 Mo 2.60

***

No. 18
Entry from Alexandria: a relaxed structure of MoPbBr2 (GGA-PBE).

Computed properties:
- Raw total energy: -15.7 eV for the cell shown
- Space group: I-4m2 (119)
- Uncorrected formation energy: 0.546 eV per atom
- Energy above the lowest structure with this stoichiometry: 0.5190 eV per atom

a b c (Å): 6.7413 6.7413 6.7413
angles (deg): 143.07 143.07 53.22
Last column: nearest neighbours and their distance in Å.
Fractional positions:
Pb 0.2500 0.7500 0.5000  4 Br 3.02
Mo 0.5000 0.5000 0.0000  4 Br 3.02
Br 0.0000 0.0000 0.0000  4 Mo 3.02
Br 0.7500 0.2500 0.5000  4 Pb 3.02

***

No. 19
Entry from Alexandria: a relaxed structure of MoPbBr (GGA-PBE).

Computed properties:
- Raw total energy: -14.2 eV for the cell shown
- Space group: P-6m2 (187)
- Uncorrected formation energy: 0.671 eV per atom
- Energy above the lowest structure with this stoichiometry: 0.4039 eV per atom

a b c (Å): 4.7522 4.7522 3.3283
angles (deg): 90.00 90.00 120.00
Last column: nearest neighbours and their distance in Å.
Fractional positions:
Pb 0.3333 0.6667 0.6666  6 Br 3.21, 6 Mo 3.21, 2 Pb 3.33
Mo 0.6667 0.3333 0.1666  3 Br 2.74
Br 0.0000 0.0000 0.1666  3 Mo 2.74

***

No. 20
Entry from Alexandria: a relaxed structure of MoPbBr2 (GGA-PBE).

Computed properties:
- Raw total energy: -16.8 eV for the cell shown
- Space group: Imm2 (44)
- Uncorrected formation energy: 0.268 eV per atom
- Energy above the lowest structure with this stoichiometry: 0.2416 eV per atom

a b c (Å): 7.7585 7.7585 7.7585
angles (deg): 155.82 143.72 44.08
Last column: nearest neighbours and their distance in Å.
Fractional positions:
Pb 0.3382 0.8382 0.5000  2 Mo 3.06, 2 Br 3.21, 2 Pb 3.25
Mo 0.5181 0.5181 0.0000  2 Br 2.59
Br 0.9853 0.9853 0.0000  4 Mo 2.95, 2 Pb 3.21, 2 Br 3.25
Br 0.6584 0.1584 0.5000  2 Mo 2.59